# NaSn5Se6

A geometry-optimized NaSn5Se6 structure (GGA-PBE, the Alexandria database).

a b c (Å): 7.343 7.343 7.332
angles (deg): 99.53 99.53 119.84
Positions (direct):
Na 0.000 0.000 0.000
Sn 0.166 0.834 0.500
Sn 0.335 0.665 0.000
Sn 0.500 0.500 0.500
Sn 0.665 0.335 0.000
Sn 0.834 0.166 0.500
Se 0.085 0.424 0.253
Se 0.258 0.258 0.757
Se 0.424 0.085 0.253
Se 0.576 0.915 0.747
Se 0.742 0.742 0.243
Se 0.915 0.576 0.747

Summary:
Crystal system: monoclinic
Formation energy from raw total energies: -0.5281 eV/atom
Final energy: -4.0481 eV per atom
Space-group type: C2/m

---

# Na5SnSe4

A geometry-optimized Na5SnSe4 structure (GGA-PBE, the Alexandria database).

a b c (Å): 9.210 9.210 7.914
angles (deg): 115.39 115.39 27.59
Positions (direct):
Na 0.000 0.000 0.000
Na 0.325 0.325 0.095
Na 0.325 0.325 0.554
Na 0.675 0.675 0.446
Na 0.675 0.675 0.905
Sn 0.000 0.000 0.500
Se 0.192 0.192 0.692
Se 0.500 0.500 0.247
Se 0.500 0.500 0.753
Se 0.808 0.808 0.308

Summary:
Crystal system: monoclinic
Formation energy from raw total energies: -0.8389 eV/atom
Final energy: -3.2925 eV per atom
Space-group type: C2/m
Energy relative to the lowest polymorph listed for this composition: 0 meV/atom

---

# Na3SnSe

A geometry-optimized Na3SnSe structure (GGA-PBE, the Alexandria database).

a b c (Å): 5.831 5.831 5.831
angles (deg): 90.00 90.00 90.00
Positions (direct):
Na 0.000 0.000 0.500
Na 0.000 0.500 0.000
Na 0.500 0.000 0.000
Sn 0.000 0.000 0.000
Se 0.500 0.500 0.500

Summary:
Crystal system: cubic
Formation energy from raw total energies: 0.1856 eV/atom
Final energy: -2.1033 eV per atom
Space-group type: Pm-3m
Energy relative to the lowest polymorph listed for this composition: 497 meV/atom

---

# Na3SnSe4

A geometry-optimized Na3SnSe4 structure (GGA-PBE, the Alexandria database).

a b c (Å): 7.967 10.142 11.133
angles (deg): 90.00 90.00 90.00
Positions (direct):
Na 0.149 0.027 0.231
Na 0.149 0.473 0.231
Na 0.198 0.250 0.947
Na 0.302 0.750 0.447
Na 0.351 0.527 0.731
Na 0.351 0.973 0.731
Na 0.649 0.027 0.269
Na 0.649 0.473 0.269
Na 0.698 0.250 0.553
Na 0.802 0.750 0.053
Na 0.851 0.527 0.769
Na 0.851 0.973 0.769
Sn 0.147 0.250 0.511
Sn 0.353 0.750 0.011
Sn 0.647 0.250 0.989
Sn 0.853 0.750 0.489
Se 0.000 0.250 0.714
Se 0.000 0.750 0.286
Se 0.058 0.750 0.666
Se 0.165 0.544 0.971
Se 0.165 0.956 0.971
Se 0.335 0.044 0.471
Se 0.335 0.456 0.471
Se 0.442 0.250 0.166
Se 0.500 0.250 0.786
Se 0.500 0.750 0.214
Se 0.558 0.750 0.834
Se 0.665 0.544 0.529
Se 0.665 0.956 0.529
Se 0.835 0.044 0.029
Se 0.835 0.456 0.029
Se 0.942 0.250 0.334

Summary:
Crystal system: orthorhombic
Formation energy from raw total energies: -0.7201 eV/atom
Final energy: -3.4574 eV per atom
Space-group type: Pnma
Energy relative to the lowest polymorph listed for this composition: 4 meV/atom

---

# Na2SnSe3

A geometry-optimized Na2SnSe3 structure (GGA-PBE, the Alexandria database).

a b c (Å): 7.939 7.939 13.975
angles (deg): 90.07 90.07 121.72
Positions (direct):
Na 0.074 0.633 0.860
Na 0.211 0.427 0.558
Na 0.367 0.926 0.640
Na 0.427 0.211 0.058
Na 0.573 0.789 0.942
Na 0.633 0.074 0.360
Na 0.789 0.573 0.442
Na 0.926 0.367 0.140
Sn 0.231 0.241 0.841
Sn 0.241 0.231 0.341
Sn 0.759 0.769 0.659
Sn 0.769 0.759 0.159
Se 0.057 0.406 0.347
Se 0.104 0.896 0.250
Se 0.195 0.390 0.993
Se 0.390 0.195 0.493
Se 0.406 0.057 0.847
Se 0.415 0.585 0.750
Se 0.585 0.415 0.250
Se 0.594 0.943 0.153
Se 0.610 0.805 0.507
Se 0.805 0.610 0.007
Se 0.896 0.104 0.750
Se 0.943 0.594 0.653

Summary:
Crystal system: monoclinic
Formation energy from raw total energies: -0.7276 eV/atom
Final energy: -3.5766 eV per atom
Space-group type: C2/c

---

# Na2Sn3Se8

A geometry-optimized Na2Sn3Se8 structure (GGA-PBE, the Alexandria database).

a b c (Å): 8.586 8.586 6.952
angles (deg): 105.93 105.93 51.87
Positions (direct):
Na 0.237 0.237 0.177
Na 0.763 0.763 0.823
Sn 0.247 0.753 0.500
Sn 0.500 0.500 0.000
Sn 0.753 0.247 0.500
Se 0.112 0.112 0.439
Se 0.157 0.622 0.109
Se 0.378 0.843 0.891
Se 0.392 0.392 0.599
Se 0.608 0.608 0.401
Se 0.622 0.157 0.109
Se 0.843 0.378 0.891
Se 0.888 0.888 0.561

Summary:
Crystal system: monoclinic
Formation energy from raw total energies: -0.3851 eV/atom
Final energy: -3.6561 eV per atom
Space-group type: C2/m

---

# NaSn3Se4

A geometry-optimized NaSn3Se4 structure (GGA-PBE, the Alexandria database).

a b c (Å): 5.935 11.945 5.935
angles (deg): 90.00 90.00 90.00
Positions (direct):
Na 0.250 0.250 0.250
Na 0.750 0.750 0.750
Sn 0.250 0.000 0.750
Sn 0.250 0.500 0.750
Sn 0.250 0.750 0.249
Sn 0.750 0.000 0.250
Sn 0.750 0.250 0.751
Sn 0.750 0.500 0.250
Se 0.250 0.250 0.750
Se 0.250 0.505 0.250
Se 0.250 0.750 0.750
Se 0.250 0.995 0.250
Se 0.750 0.005 0.750
Se 0.750 0.250 0.250
Se 0.750 0.495 0.750
Se 0.750 0.750 0.250

Summary:
Crystal system: orthorhombic
Formation energy from raw total energies: -0.5714 eV/atom
Final energy: -3.9796 eV per atom
Space-group type: Pmmn
Energy relative to the lowest polymorph listed for this composition: 0 meV/atom

---

# Na5SnSe6

A geometry-optimized Na5SnSe6 structure (GGA-PBE, the Alexandria database).

a b c (Å): 6.314 6.314 7.706
angles (deg): 97.19 97.19 104.41
Positions (direct):
Na 0.000 0.000 0.000
Na 0.159 0.841 0.500
Na 0.336 0.664 0.000
Na 0.664 0.336 0.000
Na 0.841 0.159 0.500
Sn 0.500 0.500 0.500
Se 0.107 0.426 0.263
Se 0.269 0.269 0.729
Se 0.426 0.107 0.263
Se 0.574 0.893 0.737
Se 0.731 0.731 0.271
Se 0.893 0.574 0.737

Summary:
Crystal system: monoclinic
Formation energy from raw total energies: -0.6625 eV/atom
Final energy: -3.2880 eV per atom
Space-group type: C2/m

---

# NaSnSe3

A geometry-optimized NaSnSe3 structure (GGA-PBE, the Alexandria database).

a b c (Å): 5.181 5.181 5.181
angles (deg): 90.00 90.00 90.00
Positions (direct):
Na 0.000 0.000 0.000
Sn 0.500 0.500 0.500
Se 0.000 0.000 0.500
Se 0.000 0.500 0.000
Se 0.500 0.000 0.000

Summary:
Crystal system: cubic
Formation energy from raw total energies: 0.3780 eV/atom
Final energy: -2.7771 eV per atom
Space-group type: Pm-3m
Energy relative to the lowest polymorph listed for this composition: 887 meV/atom

---

# NaSn2Se

A geometry-optimized NaSn2Se structure (GGA-PBE, the Alexandria database).

a b c (Å): 6.901 6.901 6.901
angles (deg): 101.17 101.17 127.77
Positions (direct):
Na 0.000 0.000 0.000
Na 0.750 0.250 0.500
Sn 0.170 0.625 0.045
Sn 0.375 0.420 0.545
Sn 0.580 0.125 0.955
Sn 0.875 0.830 0.455
Se 0.250 0.750 0.500
Se 0.500 0.500 0.000

Summary:
Crystal system: tetragonal
Formation energy from raw total energies: -0.2075 eV/atom
Final energy: -3.4098 eV per atom
Space-group type: I-42d

---

# Na2SnSe3

A geometry-optimized Na2SnSe3 structure (GGA-PBE, the Alexandria database).

a b c (Å): 7.359 7.359 7.818
angles (deg): 103.84 103.84 52.73
Positions (direct):
Na 0.137 0.194 0.076
Na 0.194 0.137 0.576
Na 0.806 0.863 0.424
Na 0.863 0.806 0.924
Sn 0.408 0.592 0.750
Sn 0.592 0.408 0.250
Se 0.022 0.978 0.750
Se 0.324 0.390 0.409
Se 0.390 0.324 0.909
Se 0.610 0.676 0.091
Se 0.676 0.610 0.591
Se 0.978 0.022 0.250

Summary:
Crystal system: monoclinic
Formation energy from raw total energies: -0.7447 eV/atom
Final energy: -3.5938 eV per atom
Space-group type: C2/c

---

# NaSn4Se5

A geometry-optimized NaSn4Se5 structure (GGA-PBE, the Alexandria database).

a b c (Å): 11.298 11.298 11.298
angles (deg): 158.44 149.62 37.56
Positions (direct):
Na 0.000 0.000 0.000
Sn 0.197 0.197 0.000
Sn 0.403 0.403 0.000
Sn 0.597 0.597 0.000
Sn 0.803 0.803 0.000
Se 0.104 0.604 0.500
Se 0.303 0.803 0.500
Se 0.500 0.000 0.500
Se 0.697 0.197 0.500
Se 0.896 0.396 0.500

Summary:
Crystal system: orthorhombic
Formation energy from raw total energies: -0.5520 eV/atom
Final energy: -4.0273 eV per atom
Space-group type: Immm
Energy relative to the lowest polymorph listed for this composition: 0 meV/atom

---

What is the formula in the seventh record? NaSn3Se4

---

Among the records above, which one has the highest formation energy from raw total energies? NaSnSe3

---

What is the formula in the eighth record? Na5SnSe6